MnSiRh | PBE | optimized geometry

abc: 5.6187 5.6187 5.6187
angles: 90.00 90.00 90.00
Space group F-43m (No. 216)
Inequivalent atoms, fractional coordinates:
Mn1 0.0000 0.0000 0.0000 x4
Si1 0.2500 0.2500 0.2500 x4
Rh1 0.0000 0.0000 0.5000 x4

* E_tot: -7.69 eV per atom
* raw formation energy: -0.377 eV/atom